[1]
A plane-wave DFT calculation with GGA-PBE was carried out for crystalline Li2UIO8 at its relaxed geometry.

Cell: 4.739 4.740 6.683 Å, 90.00 90.00 91.61°
Fractional coordinates of all 12 atoms:
O 0.188 0.811 0.214
O 0.720 0.721 0.000
I 0.000 0.000 0.000
O 0.812 0.189 0.786
Li 0.500 0.500 0.781
O 0.188 0.811 0.786
O 0.282 0.281 0.500
O 0.280 0.279 0.000
Li 0.500 0.500 0.219
O 0.718 0.719 0.500
U 0.000 0.000 0.500
O 0.812 0.189 0.214

Output
volume	12.50	A^3/atom
SG	Cmmm, No. 65
energy relative to the elements, uncorrected	-1.542	eV per atom
D(E_F)	0.442	states/eV per atom

---

[2]
A plane-wave DFT calculation with GGA-PBE was carried out for crystalline Ba6Pt2SBr2 at its relaxed geometry.

Cell: 8.035 8.035 8.339 Å, 99.48 99.48 118.72°
Fractional coordinates of all 11 atoms:
Pt 0.329 0.671 0.500
Ba 0.591 0.924 0.280
Br 0.162 0.838 0.000
Br 0.838 0.162 0.000
Ba 0.409 0.076 0.720
S 0.000 0.000 0.500
Pt 0.671 0.329 0.500
Ba 0.076 0.409 0.720
Ba 0.732 0.732 0.711
Ba 0.924 0.591 0.280
Ba 0.268 0.268 0.289

Output
volume	40.61	A^3/atom
SG	C2/m, No. 12
energy relative to the elements, uncorrected	-1.274	eV per atom
D(E_F)	0.879	states/eV per atom

---

[3]
A plane-wave DFT calculation with GGA-PBE was carried out for crystalline MnSn at its relaxed geometry.

Cell: 4.327 4.327 4.327 Å, 60.00 60.00 60.00°
Fractional coordinates of all 2 atoms:
Sn 0.250 0.250 0.250
Mn 0.000 0.000 0.000

Output
volume	28.64	A^3/atom
SG	F-43m, No. 216
D(E_F)	0.317	states/eV per atom
DFT formation energy	0.82	eV per atom